No. 1
# LaNiGe3 | the Alexandria database | GGA-PBE | relaxed
# Final energy in eV/atom: -5.5411
# D(E_F) in states/eV/f.u.: 1.8
# Total magnetization in μB per cell: 0.00
# Crystal system: tetragonal
# E_form in eV per atom: -0.629
data_LaNiGe3
_chemical_formula_sum 'La2 Ni2 Ge6'
_cell_length_a 4.445
_cell_length_b 4.445
_cell_length_c 9.722
_cell_angle_alpha 90.00
_cell_angle_beta 90.00
_cell_angle_gamma 90.00
_space_group_name_H-M_alt 'I 4 m m'
_space_group_IT_number 107
_space_group_name_Hall 'I 4 -2'
loop_
_atom_site_label
_atom_site_type_symbol
_atom_site_fract_x
_atom_site_fract_y
_atom_site_fract_z
La1 La 0.000 0.000 0.000
Ni1 Ni 0.000 0.000 0.661
Ge1 Ge 0.000 0.000 0.419
Ge2 Ge 0.000 0.500 0.258

***

No. 2
# La3NiGe3 | the Alexandria database | GGA-PBE | relaxed
# Final energy in eV/atom: -5.6922
# D(E_F) in states/eV/f.u.: 5.5
# Total magnetization in μB per cell: 2.86
# Crystal system: monoclinic
# E_form in eV per atom: -0.776
data_La3NiGe3
_chemical_formula_sum 'La12 Ni4 Ge12'
_cell_length_a 11.311
_cell_length_b 4.396
_cell_length_c 14.575
_cell_angle_alpha 90.00
_cell_angle_beta 110.55
_cell_angle_gamma 90.00
_space_group_name_H-M_alt 'C 1 2/m 1'
_space_group_IT_number 12
_space_group_name_Hall '-C 2y'
loop_
_atom_site_label
_atom_site_type_symbol
_atom_site_fract_x
_atom_site_fract_y
_atom_site_fract_z
La1 La 0.032 0.000 0.388
La2 La 0.103 0.000 0.921
La3 La 0.249 0.000 0.234
Ni1 Ni 0.241 0.500 0.392
Ge1 Ge 0.048 0.500 0.239
Ge2 Ge 0.110 0.500 0.076
Ge3 Ge 0.166 0.500 0.541

***

No. 3
# La5NiGe3 | the Alexandria database | GGA-PBE | relaxed
# Final energy in eV/atom: -5.5610
# D(E_F) in states/eV/f.u.: 6.1
# Total magnetization in μB per cell: 0.00
# Crystal system: hexagonal
# E_form in eV per atom: -0.642
data_La5NiGe3
_chemical_formula_sum 'La10 Ni2 Ge6'
_cell_length_a 9.0596
_cell_length_b 9.0596
_cell_length_c 7.1449
_cell_angle_alpha 90.00
_cell_angle_beta 90.00
_cell_angle_gamma 120.00
_space_group_name_H-M_alt 'P 63/m c m'
_space_group_IT_number 193
_space_group_name_Hall '-P 6c 2'
loop_
_atom_site_label
_atom_site_type_symbol
_atom_site_fract_x
_atom_site_fract_y
_atom_site_fract_z
La1 La 0.0000 0.2480 0.2500
La2 La 0.3333 0.6667 0.0000
Ni1 Ni 0.0000 0.0000 0.0000
Ge1 Ge 0.0000 0.4016 0.7500

***

No. 4
# La3Ni9Ge2 | the Alexandria database | GGA-PBE | relaxed
# Final energy in eV/atom: -5.8024
# D(E_F) in states/eV/f.u.: 9.5
# Total magnetization in μB per cell: 0.00
# Crystal system: orthorhombic
# E_form in eV per atom: -0.370
data_La3Ni9Ge2
_chemical_formula_sum 'La6 Ni18 Ge4'
_cell_length_a 4.023
_cell_length_b 9.552
_cell_length_c 12.214
_cell_angle_alpha 90.00
_cell_angle_beta 90.00
_cell_angle_gamma 90.00
_space_group_name_H-M_alt 'I m m m'
_space_group_IT_number 71
_space_group_name_Hall '-I 2 2'
loop_
_atom_site_label
_atom_site_type_symbol
_atom_site_fract_x
_atom_site_fract_y
_atom_site_fract_z
La1 La 0.000 0.000 0.000
La2 La 0.000 0.000 0.306
Ni1 Ni 0.000 0.278 0.106
Ni2 Ni 0.000 0.304 0.304
Ni3 Ni 0.000 0.500 0.000
Ge1 Ge 0.000 0.232 0.500